MgPb2W | PBE-GGA | relaxed

The value obtained for the formation energy is 208 kJ/mol of formula units. Its total magnetization is 0.000 μB per cell.

It has space group Cmm2 (No. 35), with a = 3.662 Å, b = 4.910 Å, c = 10.883 Å, α = 90.00°, β = 90.00° and γ = 90.00°. The inequivalent atoms are Mg at (0.000, 0.000, 0.000), Pb at (0.000, 0.000, 0.588), Pb at (0.000, 0.500, 0.246) and W at (0.000, 0.500, 0.805).